Computed, not measured: an optimized crystal structure of Sc2ReSb at the PBE-GGA level of DFT.

Cell: 5.400 5.400 5.400 Å, 135.00 135.00 65.54°
Fractional coordinates of all 4 atoms:
Sc1 0.000 0.000 0.000
Sc2 0.750 0.250 0.500
Re1 0.250 0.750 0.500
Sb1 0.500 0.500 0.000

Results
Formation energy without anion corrections (eV per atom): -0.170
Symmetry: I-4m2 (119)

=====

Computed, not measured: an optimized crystal structure of LiMgV2P at the PBE-GGA level of DFT.

Cell: 4.268 4.268 4.325 Å, 90.00 90.00 90.00°
Fractional coordinates of all 5 atoms:
Li1 0.000 0.000 0.000
Mg1 0.000 0.000 0.500
V1 0.000 0.500 0.000
V2 0.500 0.000 0.000
P1 0.500 0.500 0.500

Results
Energy of formation from the pure elements (eV per formula unit): 5.3
Symmetry: P4/mmm (123)

=====

Computed, not measured: an optimized crystal structure of Sb2OsICl at the PBE-GGA level of DFT.

Cell: 5.308 5.308 5.251 Å, 90.00 90.00 90.00°
Fractional coordinates of all 5 atoms:
Sb1 0.000 0.500 0.000
Sb2 0.500 0.000 0.000
Os1 0.000 0.000 0.500
I1 0.500 0.500 0.500
Cl1 0.500 0.500 0.000

Results
Offset from the most stable computed form (eV/atom): 1.357
Formation energy without anion corrections (eV per atom): 1.815
Symmetry: P4/mmm (123)

=====

Computed, not measured: an optimized crystal structure of Ho2TmOsO8 at the PBE-GGA level of DFT.

Cell: 5.009 5.009 6.706 Å, 90.00 90.00 90.65°
Fractional coordinates of all 12 atoms:
Ho1 0.000 0.000 0.246
Ho2 0.000 0.000 0.754
Tm1 0.500 0.500 0.000
Os1 0.500 0.500 0.500
O1 0.195 0.195 0.000
O2 0.234 0.234 0.500
O3 0.317 0.683 0.287
O4 0.317 0.683 0.713
O5 0.683 0.317 0.287
O6 0.683 0.317 0.713
O7 0.766 0.766 0.500
O8 0.805 0.805 0.000

Results
Formation energy without anion corrections (eV per atom): -2.565
Symmetry: Cmmm (65)